# 1
! Mg8Tl3In, optimized geometry, DFT GGA-PBE; values from VASP
&SYSTEM
  ibrav = 0, nat = 12, ntyp = 3
/
ATOMIC_SPECIES
Tl 204.38 Tl.upf
Mg 24.30 Mg.upf
In 114.82 In.upf
CELL_PARAMETERS angstrom
-0.600 5.488 -5.383
-4.151 0.893 6.436
6.751 -0.626 3.673
ATOMIC_POSITIONS crystal
Tl 0.500 0.250 0.750
Tl 0.500 0.750 0.250
Tl 0.000 0.500 0.500
Mg 0.733 0.113 0.113
Mg 0.000 0.887 0.620
Mg 0.000 0.755 0.254
Mg 0.267 0.380 0.380
Mg 0.000 0.620 0.887
Mg 0.501 0.746 0.746
Mg 0.499 0.245 0.245
Mg 0.000 0.254 0.755
In 0.000 0.000 0.000
! Distance to the lowest polymorph of the same formula in meV per atom: 194
! Uncorrected energy in eV for the cell shown: -20.45
! Size of the total moment in μB per cell: 0.000
! Calculated volume in Å³ per cell: 336.2

=====

# 2
! MgTlIn3, optimized geometry, DFT GGA-PBE; values from VASP
&SYSTEM
  ibrav = 0, nat = 5, ntyp = 3
/
ATOMIC_SPECIES
In 114.82 In.upf
Mg 24.30 Mg.upf
Tl 204.38 Tl.upf
CELL_PARAMETERS angstrom
3.264 0.000 0.000
0.000 7.186 0.000
0.000 -3.593 6.223
ATOMIC_POSITIONS crystal
In 0.500 0.138 0.862
In 0.500 0.138 0.277
In 0.500 0.723 0.862
Mg 0.000 0.333 0.667
Tl 0.000 0.667 0.333
! Distance to the lowest polymorph of the same formula in meV per atom: 70
! Uncorrected energy in eV for the cell shown: -11.79
! Size of the total moment in μB per cell: 0.000
! Calculated volume in Å³ per cell: 146.0

=====

# 3
! Mg7Tl2In, optimized geometry, DFT GGA-PBE; values from VASP
&SYSTEM
  ibrav = 0, nat = 10, ntyp = 3
/
ATOMIC_SPECIES
Mg 24.30 Mg.upf
Tl 204.38 Tl.upf
In 114.82 In.upf
CELL_PARAMETERS angstrom
7.599 0.000 0.000
3.800 6.581 0.000
3.800 2.194 6.205
ATOMIC_POSITIONS crystal
Mg 0.749 0.251 0.251
Mg 0.251 0.251 0.749
Mg 0.251 0.749 0.251
Mg 0.500 0.500 0.500
Mg 0.749 0.251 0.749
Mg 0.749 0.749 0.251
Mg 0.251 0.749 0.749
Tl 0.250 0.250 0.250
Tl 0.750 0.750 0.750
In 0.000 0.000 0.000
! Distance to the lowest polymorph of the same formula in meV per atom: 368
! Uncorrected energy in eV for the cell shown: -15.11
! Size of the total moment in μB per cell: 0.000
! Calculated volume in Å³ per cell: 310.3

=====

# 4
! Mg4Tl7In, optimized geometry, DFT GGA-PBE; values from VASP
&SYSTEM
  ibrav = 0, nat = 12, ntyp = 3
/
ATOMIC_SPECIES
Tl 204.38 Tl.upf
Mg 24.30 Mg.upf
In 114.82 In.upf
CELL_PARAMETERS angstrom
-0.303 -0.937 4.572
1.854 -4.498 -3.104
13.482 0.358 1.098
ATOMIC_POSITIONS crystal
Tl 0.681 0.367 0.840
Tl 0.671 0.342 0.584
Tl 0.329 0.658 0.416
Tl 0.006 0.014 0.749
Tl 0.000 0.000 0.000
Tl 0.319 0.633 0.160
Tl 0.994 0.986 0.251
Mg 0.338 0.675 0.667
Mg 0.337 0.680 0.916
Mg 0.663 0.320 0.084
Mg 0.662 0.325 0.333
In 0.000 0.000 0.500
! Distance to the lowest polymorph of the same formula in meV per atom: 0
! Uncorrected energy in eV for the cell shown: -25.55
! Size of the total moment in μB per cell: 0.000
! Calculated volume in Å³ per cell: 322.6

=====

# 5
! Mg2Tl2In, optimized geometry, DFT GGA-PBE; values from VASP
&SYSTEM
  ibrav = 0, nat = 10, ntyp = 3
/
ATOMIC_SPECIES
Tl 204.38 Tl.upf
In 114.82 In.upf
Mg 24.30 Mg.upf
CELL_PARAMETERS angstrom
-0.674 8.162 2.852
-3.536 2.350 -7.562
-3.173 -0.704 1.265
ATOMIC_POSITIONS crystal
Tl 0.847 0.653 0.000
Tl 0.153 0.347 0.000
Tl 0.653 0.153 0.000
Tl 0.347 0.847 0.000
In 0.000 0.000 0.000
In 0.500 0.500 0.000
Mg 0.145 0.645 0.500
Mg 0.355 0.145 0.500
Mg 0.645 0.855 0.500
Mg 0.855 0.355 0.500
! Distance to the lowest polymorph of the same formula in meV per atom: 55
! Uncorrected energy in eV for the cell shown: -20.98
! Size of the total moment in μB per cell: 0.000
! Calculated volume in Å³ per cell: 262.3

=====

# 6
! MgTl2In6, optimized geometry, DFT GGA-PBE; values from VASP
&SYSTEM
  ibrav = 0, nat = 9, ntyp = 3
/
ATOMIC_SPECIES
In 114.82 In.upf
Mg 24.30 Mg.upf
Tl 204.38 Tl.upf
CELL_PARAMETERS angstrom
-0.028 2.550 2.122
6.731 -4.051 4.960
8.911 1.740 -1.971
ATOMIC_POSITIONS crystal
In 0.499 0.000 0.673
In 0.500 0.673 0.327
In 0.501 0.000 0.327
In 0.501 0.327 0.000
In 0.500 0.327 0.673
In 0.499 0.673 0.000
Mg 0.000 0.000 0.000
Tl 0.000 0.333 0.333
Tl 0.000 0.667 0.667
! Distance to the lowest polymorph of the same formula in meV per atom: 0
! Uncorrected energy in eV for the cell shown: -22.63
! Size of the total moment in μB per cell: 0.000
! Calculated volume in Å³ per cell: 248.0

=====

# 7
! Mg12TlIn2, optimized geometry, DFT GGA-PBE; values from VASP
&SYSTEM
  ibrav = 0, nat = 30, ntyp = 3
/
ATOMIC_SPECIES
Mg 24.30 Mg.upf
In 114.82 In.upf
Tl 204.38 Tl.upf
CELL_PARAMETERS angstrom
5.943 0.000 0.000
0.000 5.943 0.000
0.000 0.000 21.949
ATOMIC_POSITIONS crystal
Mg 0.327 0.827 0.437
Mg 0.673 0.827 0.563
Mg 0.762 0.262 0.102
Mg 0.173 0.327 0.437
Mg 0.238 0.738 0.102
Mg 0.738 0.238 0.898
Mg 0.000 0.000 0.795
Mg 0.500 0.500 0.663
Mg 0.262 0.238 0.102
Mg 0.262 0.762 0.898
Mg 0.173 0.673 0.563
Mg 0.500 0.500 0.795
Mg 0.000 0.000 0.337
Mg 0.327 0.173 0.563
Mg 0.762 0.738 0.898
Mg 0.827 0.673 0.437
Mg 0.500 0.500 0.337
Mg 0.000 0.000 0.663
Mg 0.238 0.262 0.898
Mg 0.500 0.500 0.205
Mg 0.000 0.000 0.205
Mg 0.673 0.173 0.437
Mg 0.738 0.762 0.102
Mg 0.827 0.327 0.563
In 0.500 0.000 0.733
In 0.500 0.000 0.267
In 0.000 0.500 0.267
In 0.000 0.500 0.733
Tl 0.000 0.500 0.000
Tl 0.500 0.000 0.000
! Uncorrected energy in eV for the cell shown: -49.81
! Size of the total moment in μB per cell: 0.000
! Calculated volume in Å³ per cell: 775.1

=====

# 8
! Mg5Tl6In2, optimized geometry, DFT GGA-PBE; values from VASP
&SYSTEM
  ibrav = 0, nat = 26, ntyp = 3
/
ATOMIC_SPECIES
In 114.82 In.upf
Mg 24.30 Mg.upf
Tl 204.38 Tl.upf
CELL_PARAMETERS angstrom
-2.363 -1.325 2.420
3.142 -9.206 -1.970
13.218 1.565 13.763
ATOMIC_POSITIONS crystal
In 0.000 0.335 0.263
In 0.000 0.165 0.763
In 0.000 0.665 0.737
In 0.000 0.835 0.237
Mg 0.500 0.917 0.748
Mg 0.500 0.583 0.248
Mg 0.500 0.834 0.014
Mg 0.500 0.000 0.500
Mg 0.500 0.666 0.514
Mg 0.500 0.334 0.486
Mg 0.500 0.417 0.752
Mg 0.500 0.083 0.252
Mg 0.500 0.166 0.986
Mg 0.500 0.500 0.000
Tl 0.500 0.676 0.873
Tl 0.000 0.473 0.606
Tl 0.000 0.973 0.894
Tl 0.000 0.027 0.106
Tl 0.500 0.824 0.373
Tl 0.000 0.644 0.108
Tl 0.000 0.856 0.608
Tl 0.000 0.356 0.892
Tl 0.000 0.527 0.394
Tl 0.500 0.176 0.627
Tl 0.000 0.144 0.392
Tl 0.500 0.324 0.127
! Uncorrected energy in eV for the cell shown: -55.20
! Size of the total moment in μB per cell: 0.000
! Calculated volume in Å³ per cell: 690.3

=====

# 9
! Mg12Tl7In, optimized geometry, DFT GGA-PBE; values from VASP
&SYSTEM
  ibrav = 0, nat = 20, ntyp = 3
/
ATOMIC_SPECIES
Mg 24.30 Mg.upf
Tl 204.38 Tl.upf
In 114.82 In.upf
CELL_PARAMETERS angstrom
-0.084 -4.635 -7.981
0.864 -5.949 7.004
-7.891 4.700 0.911
ATOMIC_POSITIONS crystal
Mg 0.847 0.099 0.252
Mg 0.405 0.252 0.153
Mg 0.748 0.847 0.595
Mg 0.901 0.748 0.153
Mg 0.595 0.748 0.847
Mg 0.153 0.405 0.252
Mg 0.099 0.252 0.847
Mg 0.847 0.595 0.748
Mg 0.252 0.847 0.099
Mg 0.748 0.153 0.901
Mg 0.153 0.901 0.748
Mg 0.252 0.153 0.405
Tl 0.000 0.000 0.500
Tl 0.500 0.000 0.500
Tl 0.500 0.000 0.000
Tl 0.500 0.500 0.500
Tl 0.000 0.500 0.500
Tl 0.000 0.500 0.000
Tl 0.500 0.500 0.000
In 0.000 0.000 0.000
! Uncorrected energy in eV for the cell shown: -35.14
! Size of the total moment in μB per cell: 0.000
! Calculated volume in Å³ per cell: 605.3